Record 1
This record from Alexandria via LeMat-Bulk describes a relaxed LiTaHg crystal. The functional is PBE-GGA.

## Properties
Symmetry   Imm2
Excess energy over the best structure of this formula in the dataset   42.8 kJ per mole of atoms
E   -25.30 eV per cell

Unit cell a=2.8280 b=4.2599 c=8.9741 alpha=90.00 beta=90.00 gamma=90.00
Fractional coordinates of all 6 atoms:
Li  0.0000  0.0000  0.0000
Li  0.5000  0.5000  0.5000
Ta  0.0000  0.0000  0.6752
Ta  0.5000  0.5000  0.1752
Hg  0.0000  0.0000  0.3480
Hg  0.5000  0.5000  0.8480



Record 2
This record from Alexandria via LeMat-Bulk describes a relaxed LiTaHg2 crystal. The functional is PBE-GGA.

## Properties
Symmetry   Imm2
Excess energy over the best structure of this formula in the dataset   18.7 kJ per mole of atoms
E   -26.43 eV per cell

Unit cell a=2.8573 b=5.1627 c=10.6657 alpha=90.00 beta=90.00 gamma=90.00
Fractional coordinates of all 8 atoms:
Li  0.0000  0.0000  0.0000
Li  0.5000  0.5000  0.5000
Ta  0.0000  0.5000  0.7647
Ta  0.5000  0.0000  0.2647
Hg  0.0000  0.0000  0.5072
Hg  0.0000  0.5000  0.2664
Hg  0.5000  0.0000  0.7664
Hg  0.5000  0.5000  0.0072



Record 3
This record from Alexandria via LeMat-Bulk describes a relaxed LiTaHg crystal. The functional is PBE-GGA.

## Properties
Symmetry   Fmm2
Excess energy over the best structure of this formula in the dataset   26.8 kJ per mole of atoms
E   -52.60 eV per cell

Unit cell a=3.1757 b=4.7080 c=15.0069 alpha=90.00 beta=90.00 gamma=90.00
Fractional coordinates of all 12 atoms:
Li  0.0000  0.0000  0.0000
Li  0.0000  0.5000  0.5000
Li  0.5000  0.0000  0.5000
Li  0.5000  0.5000  0.0000
Ta  0.0000  0.0000  0.3315
Ta  0.0000  0.5000  0.8315
Ta  0.5000  0.0000  0.8315
Ta  0.5000  0.5000  0.3315
Hg  0.0000  0.0000  0.6568
Hg  0.0000  0.5000  0.1568
Hg  0.5000  0.0000  0.1568
Hg  0.5000  0.5000  0.6568



Record 4
This record from Alexandria via LeMat-Bulk describes a relaxed LiTa4Hg crystal. The functional is PBE-GGA.

## Properties
Symmetry   F-43m
E   -46.12 eV per cell

Unit cell a=5.5165 b=5.5165 c=5.5165 alpha=60.00 beta=60.00 gamma=60.00
Fractional coordinates of all 6 atoms:
Li  0.0000  0.0000  0.0000
Ta  0.1210  0.6263  0.6263
Ta  0.6263  0.1210  0.6263
Ta  0.6263  0.6263  0.1210
Ta  0.6263  0.6263  0.6263
Hg  0.2500  0.2500  0.2500



Record 5
This record from Alexandria via LeMat-Bulk describes a relaxed Li2TaHg2 crystal. The functional is PBE-GGA.

## Properties
Symmetry   P4/mbm
E   -31.46 eV per cell

Unit cell a=7.6844 b=7.6844 c=2.8723 alpha=90.00 beta=90.00 gamma=90.00
Fractional coordinates of all 10 atoms:
Li  0.1170  0.3830  0.0000
Li  0.3830  0.8830  0.0000
Li  0.6170  0.1170  0.0000
Li  0.8830  0.6170  0.0000
Ta  0.0000  0.0000  0.0000
Ta  0.5000  0.5000  0.0000
Hg  0.1832  0.6832  0.5000
Hg  0.3168  0.1832  0.5000
Hg  0.6832  0.8168  0.5000
Hg  0.8168  0.3168  0.5000



Record 6
This record from Alexandria via LeMat-Bulk describes a relaxed LiTa2Hg crystal. The functional is PBE-GGA.

## Properties
Symmetry   F-43m
E   -94.75 eV per cell

Unit cell a=6.6369 b=6.6369 c=6.6369 alpha=90.00 beta=90.00 gamma=90.00
Fractional coordinates of all 16 atoms:
Li  0.0000  0.0000  0.0000
Li  0.0000  0.5000  0.5000
Li  0.5000  0.0000  0.5000
Li  0.5000  0.5000  0.0000
Ta  0.0000  0.0000  0.5000
Ta  0.0000  0.5000  0.0000
Ta  0.2500  0.2500  0.7500
Ta  0.2500  0.7500  0.2500
Ta  0.5000  0.0000  0.0000
Ta  0.5000  0.5000  0.5000
Ta  0.7500  0.2500  0.2500
Ta  0.7500  0.7500  0.7500
Hg  0.2500  0.2500  0.2500
Hg  0.2500  0.7500  0.7500
Hg  0.7500  0.2500  0.7500
Hg  0.7500  0.7500  0.2500